## AcSmPd2 (PBE-GGA)

Data for an optimized crystal structure of AcSmPd2.

abc: 4.3061 4.3061 7.3673
angles: 73.01 73.01 60.00
With the nearest neighbours (Å) after each atom.
Positions (direct):
Ac (0.5000, 0.5000, 0.5000)  6 Pd 3.10
Pd (0.7444, 0.7444, 0.7669)  3 Sm 2.97, 3 Ac 3.10
Pd (0.2556, 0.2556, 0.2331)  3 Sm 2.97, 3 Ac 3.10
Sm (0.0000, 0.0000, 0.0000)  6 Pd 2.97

Calculated values
For the total energy, the calculation gives -0.204 hartree per atom. For the energy relative to the elements, the calculation gives -71 kJ/mol of atoms. The value obtained for the total moment is 0.000 μB per atom. The calculation puts the distance to the lowest polymorph of the same formula at 0.0744 eV/atom. The space-group type is No. 166.